*P*
Below is ScZn2Cl at its PBEsol-relaxed geometry, with properties calculated at the SCAN level.

Geometry as CIF:
```
data_ScZn2Cl
_chemical_formula_sum 'Sc1 Zn2 Cl1'
_cell_length_a 3.131
_cell_length_b 3.131
_cell_length_c 7.711
_cell_angle_alpha 90.00
_cell_angle_beta 90.00
_cell_angle_gamma 90.00
_space_group_name_H-M_alt 'P 1'
_space_group_IT_number 1
_space_group_name_Hall 'P 1'
loop_
_atom_site_label
_atom_site_fract_x
_atom_site_fract_y
_atom_site_fract_z
Sc1 0.500 0.500 0.754
Zn1 0.000 0.000 0.006
Zn2 0.500 0.500 0.171
Cl1 0.000 0.000 0.569
```

Properties
**Space group**: P4mm, No. 99
**Volume**: 18.90 A^3/atom
**Fermi-level density of states**: 2.15 states/eV/f.u.

*Q*
Below is ScZn2Cl at its PBEsol-relaxed geometry, with properties calculated at the SCAN level.

Geometry as CIF:
```
data_ScZn2Cl
_chemical_formula_sum 'Sc1 Zn2 Cl1'
_cell_length_a 3.233
_cell_length_b 4.892
_cell_length_c 4.912
_cell_angle_alpha 90.00
_cell_angle_beta 90.00
_cell_angle_gamma 90.00
_space_group_name_H-M_alt 'P 1'
_space_group_IT_number 1
_space_group_name_Hall 'P 1'
loop_
_atom_site_label
_atom_site_fract_x
_atom_site_fract_y
_atom_site_fract_z
Sc1 0.500 0.000 0.500
Zn1 0.000 0.754 0.000
Zn2 0.000 0.246 0.000
Cl1 0.500 0.500 0.500
```

Properties
**Space group**: Pmmm, No. 47
**Volume**: 19.42 A^3/atom
**Fermi-level density of states**: 2.45 states/eV/f.u.

*R*
Below is ScZn2Cl at its PBEsol-relaxed geometry, with properties calculated at the SCAN level.

Geometry as CIF:
```
data_ScZn2Cl
_chemical_formula_sum 'Sc1 Zn2 Cl1'
_cell_length_a 3.306
_cell_length_b 3.306
_cell_length_c 6.790
_cell_angle_alpha 90.00
_cell_angle_beta 90.00
_cell_angle_gamma 90.00
_space_group_name_H-M_alt 'P 1'
_space_group_IT_number 1
_space_group_name_Hall 'P 1'
loop_
_atom_site_label
_atom_site_fract_x
_atom_site_fract_y
_atom_site_fract_z
Sc1 0.500 0.500 0.500
Zn1 0.000 0.000 0.742
Zn2 0.000 0.000 0.258
Cl1 0.500 0.500 0.000
```

Properties
**Space group**: P4/mmm, No. 123
**Volume**: 18.56 A^3/atom
**Fermi-level density of states**: 1.97 states/eV/f.u.

Short version: *P* is the most stable of them.